Record 1
Computed, not measured: a geometry-optimized Ba5PdAu2N structure at the PBE-GGA level of DFT.

Unit cell a=4.6408 b=9.9275 c=14.2717 alpha=90.00 beta=90.00 gamma=103.52
Closest atoms and distances in Å follow each position.
Atoms (fractional coordinates):
Au  0.1029  0.2059  0.6830  6 Ba 3.35-3.55
N  0.4758  0.9517  0.4398  3 Ba 2.47-2.67
Ba  0.9585  0.9170  0.5289  2 N 2.67
Au  0.8568  0.7136  0.8144  6 Ba 3.41-3.51
Pd  0.2069  0.4137  0.0252  6 Ba 3.19-3.26
Au  0.1432  0.2864  0.3144  6 Ba 3.41-3.51
N  0.5242  0.0483  0.9398  3 Ba 2.47-2.67
Ba  0.3744  0.7489  0.9977  1 N 3.01, 1 Pd 3.26
Au  0.8971  0.7941  0.1830  6 Ba 3.35-3.55
Ba  0.2763  0.5525  0.6775  2 Pd 3.20, 3 Au 3.35-3.41
Ba  0.6638  0.3276  0.8832  1 N 2.81
Ba  0.0415  0.0830  0.0289  2 N 2.67
Pd  0.7931  0.5863  0.5252  6 Ba 3.19-3.26
Ba  0.3362  0.6724  0.3832  1 N 2.81
Ba  0.7237  0.4475  0.1775  2 Pd 3.20, 3 Au 3.35-3.41
Ba  0.4871  0.9743  0.7744  1 N 2.47
Ba  0.6256  0.2511  0.4977  1 N 3.01, 1 Pd 3.26
Ba  0.5129  0.0257  0.2744  1 N 2.47

Energy relative to the elements, uncorrected (eV per atom): -0.517
Total magnetization (μB/f.u.): 0.000
Final energy (eV per atom): -3.816

***

Record 2
Computed, not measured: a geometry-optimized Ba6Pt2AuN structure at the PBE-GGA level of DFT.

Unit cell a=7.7659 b=7.7638 c=8.5668 alpha=63.06 beta=63.05 gamma=60.01
Closest atoms and distances in Å follow each position.
Atoms (fractional coordinates):
Pt  0.0009  0.0010  0.9971  6 Ba 3.17-3.19
Ba  0.2487  0.9548  0.2324  1 N 2.82
N  0.3259  0.3258  0.0224  6 Ba 2.82-2.89
Ba  0.1245  0.4011  0.7730  1 N 2.89, 2 Pt 3.19-3.21
Au  0.8264  0.8263  0.5210  6 Ba 3.37-3.40
Ba  0.5639  0.2484  0.2326  1 N 2.82
Ba  0.9550  0.5639  0.2324  1 N 2.82
Ba  0.4011  0.7016  0.7728  1 N 2.89, 2 Pt 3.19-3.21
Ba  0.7014  0.1247  0.7730  1 N 2.89, 2 Pt 3.19-3.21
Pt  0.5139  0.5139  0.4584  6 Ba 3.20-3.21

Energy relative to the elements, uncorrected (eV per atom): -0.542
Total magnetization (μB/f.u.): 0.000
Final energy (eV per atom): -4.064

***

Record 3
Computed, not measured: a geometry-optimized RbBaAuN2 structure at the PBE-GGA level of DFT.

Unit cell a=5.1776 b=6.0248 c=5.1776 alpha=90.00 beta=90.00 gamma=90.00
Closest atoms and distances in Å follow each position.
Atoms (fractional coordinates):
N  0.5000  0.0000  0.0000  2 Rb 2.59
N  0.0000  0.0000  0.5000  2 Rb 2.59
Ba  0.5000  0.5000  0.5000  4 Au 3.66, 8 N 3.97
Au  0.0000  0.5000  0.0000  2 Rb 3.01
Rb  0.0000  0.0000  0.0000  4 N 2.59

Energy relative to the elements, uncorrected (eV per atom): 1.348
Total magnetization (μB/f.u.): 4.000
Final energy (eV per atom): -3.215

***

Record 4
Computed, not measured: a geometry-optimized BaAuSN2 structure at the PBE-GGA level of DFT.

Unit cell a=4.6017 b=4.6017 c=6.3304 alpha=90.00 beta=90.00 gamma=90.00
Closest atoms and distances in Å follow each position.
Atoms (fractional coordinates):
N  0.5000  0.0000  0.0000  2 Ba 2.30
Ba  0.0000  0.0000  0.0000  4 N 2.30
Au  0.5000  0.5000  0.5000  4 S 3.25
N  0.0000  0.5000  0.0000  2 Ba 2.30
S  0.0000  0.0000  0.5000  2 Ba 3.17, 4 Au 3.25

Offset from the most stable computed form (meV per atom): 1186
Energy relative to the elements, uncorrected (eV per atom): 1.878
Total magnetization (μB/f.u.): 2.821
Final energy (eV per atom): -3.318

***

Record 5
Computed, not measured: a geometry-optimized BaAuSN2 structure at the PBE-GGA level of DFT.

Unit cell a=4.3420 b=4.3420 c=5.1827 alpha=90.00 beta=90.00 gamma=90.00
Closest atoms and distances in Å follow each position.
Atoms (fractional coordinates):
S  0.0000  0.0000  0.5000  2 Au 2.59
Ba  0.5000  0.5000  0.5000  4 S 3.07, 8 N 3.38
Au  0.0000  0.0000  0.0000  4 N 2.17
N  0.5000  0.0000  0.0000  2 Au 2.17
N  0.0000  0.5000  0.0000  2 Au 2.17

Offset from the most stable computed form (meV per atom): 0
Energy relative to the elements, uncorrected (eV per atom): 0.692
Total magnetization (μB/f.u.): 2.710
Final energy (eV per atom): -4.504

***

Record 6
Computed, not measured: a geometry-optimized BaAuS2N structure at the PBE-GGA level of DFT.

Unit cell a=5.9941 b=5.9941 c=5.2279 alpha=90.00 beta=90.00 gamma=90.00
Closest atoms and distances in Å follow each position.
Atoms (fractional coordinates):
S  0.5000  0.0000  0.0000  2 Ba 3.00
Ba  0.0000  0.0000  0.0000  2 N 2.61
Au  0.5000  0.5000  0.5000  8 S 3.98, 4 N 4.24
N  0.0000  0.0000  0.5000  2 Ba 2.61
S  0.0000  0.5000  0.0000  2 Ba 3.00

Offset from the most stable computed form (meV per atom): 1293
Energy relative to the elements, uncorrected (eV per atom): 1.273
Total magnetization (μB/f.u.): 4.053
Final energy (eV per atom): -3.083

***

Record 7
Computed, not measured: a geometry-optimized Ba6Au2SN structure at the PBE-GGA level of DFT.

Unit cell a=7.7486 b=8.4083 c=11.2822 alpha=90.00 beta=89.27 gamma=90.00
Closest atoms and distances in Å follow each position.
Atoms (fractional coordinates):
S  0.5000  0.0000  0.0000  6 Ba 3.15-3.19
Au  0.4603  0.4112  0.2484  6 Ba 3.38-3.56
Ba  0.7966  0.8220  0.5543  1 N 2.82
Ba  0.8875  0.5352  0.2343  1 N 2.79
Ba  0.7034  0.3220  0.9457  1 N 2.82
Ba  0.8285  0.7925  0.9410  1 N 2.88, 1 S 3.15
S  0.0000  0.5000  0.5000  6 Ba 3.15-3.19
Ba  0.6715  0.2925  0.5590  1 N 2.88, 1 S 3.15
Ba  0.2034  0.1780  0.4457  1 N 2.82
Ba  0.6125  0.0352  0.2657  1 N 2.79
Au  0.9603  0.0888  0.7484  6 Ba 3.38-3.56
Ba  0.3875  0.9648  0.7343  1 N 2.79
Ba  0.1715  0.2075  0.0590  1 N 2.88, 1 S 3.15
N  0.0000  0.5000  0.0000  6 Ba 2.79-2.88
N  0.5000  0.0000  0.5000  6 Ba 2.79-2.88
Ba  0.2966  0.6780  0.0543  1 N 2.82
Au  0.0397  0.9112  0.2516  6 Ba 3.38-3.56
Au  0.5397  0.5888  0.7516  6 Ba 3.38-3.56
Ba  0.3285  0.7075  0.4410  1 N 2.88, 1 S 3.15
Ba  0.1125  0.4648  0.7657  1 N 2.79

Energy relative to the elements, uncorrected (eV per atom): -0.772
Total magnetization (μB/f.u.): 0.000
Final energy (eV per atom): -3.827

***

Record 8
Computed, not measured: a geometry-optimized BaAuS2N structure at the PBE-GGA level of DFT.

Unit cell a=5.1786 b=5.1786 c=4.0899 alpha=90.00 beta=90.00 gamma=90.00
Closest atoms and distances in Å follow each position.
Atoms (fractional coordinates):
Au  0.0000  0.0000  0.0000  2 N 2.04
N  0.0000  0.0000  0.5000  2 Au 2.04
S  0.0000  0.5000  0.0000  2 Au 2.59
Ba  0.5000  0.5000  0.5000  8 S 3.30, 4 N 3.66
S  0.5000  0.0000  0.0000  2 Au 2.59

Offset from the most stable computed form (meV per atom): 0
Energy relative to the elements, uncorrected (eV per atom): -0.020
Total magnetization (μB/f.u.): 1.472
Final energy (eV per atom): -4.376

***

Record 9
Computed, not measured: a geometry-optimized BaScAu2N structure at the PBE-GGA level of DFT.

Unit cell a=5.2806 b=4.1035 c=5.2806 alpha=90.00 beta=90.00 gamma=90.00
Closest atoms and distances in Å follow each position.
Atoms (fractional coordinates):
Ba  0.5000  0.5000  0.5000  8 Au 3.34, 4 Sc 3.73
Sc  0.0000  0.5000  0.0000  2 N 2.05
N  0.0000  0.0000  0.0000  2 Sc 2.05
Au  0.5000  0.0000  0.0000  2 N 2.64
Au  0.0000  0.0000  0.5000  2 N 2.64

Energy relative to the elements, uncorrected (eV per atom): -0.214
Total magnetization (μB/f.u.): 0.000
Final energy (eV per atom): -4.841

***

Record 10
Computed, not measured: a geometry-optimized BaAuSeN2 structure at the PBE-GGA level of DFT.

Unit cell a=4.5394 b=4.5394 c=6.8623 alpha=90.00 beta=90.00 gamma=90.00
Closest atoms and distances in Å follow each position.
Atoms (fractional coordinates):
N  0.0000  0.5000  0.0000  2 Ba 2.27
Au  0.5000  0.5000  0.5000  4 Se 3.21
Ba  0.0000  0.0000  0.0000  4 N 2.27
Se  0.0000  0.0000  0.5000  4 Au 3.21, 2 Ba 3.43
N  0.5000  0.0000  0.0000  2 Ba 2.27

Offset from the most stable computed form (meV per atom): 1007
Energy relative to the elements, uncorrected (eV per atom): 1.763
Total magnetization (μB/f.u.): 2.717
Final energy (eV per atom): -3.304

***

Record 11
Computed, not measured: a geometry-optimized BaAuSeN2 structure at the PBE-GGA level of DFT.

Unit cell a=4.4324 b=4.4324 c=5.3709 alpha=90.00 beta=90.00 gamma=90.00
Closest atoms and distances in Å follow each position.
Atoms (fractional coordinates):
N  0.0000  0.5000  0.0000  2 Au 2.22
Au  0.0000  0.0000  0.0000  4 N 2.22
Ba  0.5000  0.5000  0.5000  4 Se 3.13, 8 N 3.48
Se  0.0000  0.0000  0.5000  2 Au 2.69
N  0.5000  0.0000  0.0000  2 Au 2.22

Offset from the most stable computed form (meV per atom): 0
Energy relative to the elements, uncorrected (eV per atom): 0.755
Total magnetization (μB/f.u.): 2.895
Final energy (eV per atom): -4.312